(1)
4
Lattice="3.131 0.000 0.000 0.000 3.131 0.000 0.000 0.000 6.918" Properties=species:S:1:pos:R:3 comment="YCo2Ag | Alexandria via LeMat-Bulk | PBE | relaxed" formation_energy_ev_per_fu=0.5 magnetic_moment_mub_per_fu=3.0 relative_energy_ev_per_atom=0.006 dos_at_fermi_per_ev_fu=4.028 pbc="T T T"
Y 0.000 0.000 0.000
Co 0.000 0.000 3.981
Co 1.565 1.565 4.966
Ag 1.565 1.565 2.257

(2)
3
Lattice="0.000 2.456 7.392 1.611 0.000 7.392 1.611 2.456 0.000" Properties=species:S:1:pos:R:3 comment="LaReW | Alexandria via LeMat-Bulk | PBE | relaxed" formation_energy_ev_per_fu=1.7 magnetic_moment_mub_per_fu=0.0 relative_energy_ev_per_atom=0.352 dos_at_fermi_per_ev_fu=1.833 pbc="T T T"
La 0.000 0.000 0.000
Re 1.611 2.456 4.763
W 1.611 2.456 10.170

(3)
14
Lattice="3.664 -4.073 0.000 3.664 4.073 0.000 0.000 0.000 7.657" Properties=species:S:1:pos:R:3 comment="Cu3PdAu3 | Alexandria via LeMat-Bulk | PBE | relaxed" formation_energy_ev_per_fu=0.3 magnetic_moment_mub_per_fu=0.0 relative_energy_ev_per_atom=0.102 dos_at_fermi_per_ev_fu=2.131 pbc="T T T"
Cu 3.664 2.191 0.000
Cu 3.664 2.035 3.829
Cu 2.054 0.000 3.829
Cu 5.274 0.000 3.829
Cu 3.664 -2.035 3.829
Cu 3.664 -2.191 0.000
Pd 2.156 0.000 0.000
Pd 5.171 0.000 0.000
Au 0.000 0.000 1.967
Au 0.000 0.000 5.690
Au 1.832 2.037 1.965
Au 1.832 2.037 5.692
Au 1.832 -2.037 1.965
Au 1.832 -2.037 5.692

(4)
10
Lattice="7.540 0.000 0.000 0.000 7.540 0.000 0.000 0.000 3.754" Properties=species:S:1:pos:R:3 comment="VHg2As2 | Alexandria via LeMat-Bulk | PBE | relaxed" formation_energy_ev_per_fu=2.7 magnetic_moment_mub_per_fu=3.0 relative_energy_ev_per_atom=0.402 dos_at_fermi_per_ev_fu=3.815 pbc="T T T"
V 0.000 0.000 0.000
V 3.770 3.770 0.000
Hg 1.015 2.755 0.000
Hg 2.755 6.525 0.000
Hg 4.785 1.015 0.000
Hg 6.525 4.785 0.000
As 1.328 5.098 1.877
As 2.442 1.328 1.877
As 5.098 6.212 1.877
As 6.212 2.442 1.877

(5)
6
Lattice="5.106 0.000 0.000 -2.553 4.422 0.000 0.000 0.000 6.994" Properties=species:S:1:pos:R:3 comment="ErMgSn | Alexandria via LeMat-Bulk | PBE | relaxed" formation_energy_ev_per_fu=-0.6 magnetic_moment_mub_per_fu=0.0 dos_at_fermi_per_ev_fu=2.274 pbc="T T T"
Er 0.000 2.948 2.679
Er 2.553 1.474 4.315
Mg 0.000 2.948 6.281
Mg 2.553 1.474 0.713
Sn 0.000 0.000 1.897
Sn 0.000 0.000 5.097

(6)
4
Lattice="0.000 3.121 3.121 3.121 0.000 3.121 3.121 3.121 0.000" Properties=species:S:1:pos:R:3 comment="ScTiNiRu | Alexandria via LeMat-Bulk | PBE | relaxed" formation_energy_ev_per_fu=-2.1 magnetic_moment_mub_per_fu=0.0 dos_at_fermi_per_ev_fu=3.265 pbc="T T T"
Sc 0.000 0.000 0.000
Ti 3.121 3.121 3.121
Ni 1.561 1.561 1.561
Ru 4.682 4.682 4.682

(7)
4
Lattice="0.000 4.032 4.032 4.032 0.000 4.032 4.032 4.032 0.000" Properties=species:S:1:pos:R:3 comment="Rb2PtAu | Alexandria via LeMat-Bulk | PBE | relaxed" formation_energy_ev_per_fu=1.1 magnetic_moment_mub_per_fu=0.0 relative_energy_ev_per_atom=0.292 dos_at_fermi_per_ev_fu=4.704 pbc="T T T"
Rb 2.016 2.016 2.016
Rb 6.049 6.049 6.049
Pt 0.000 0.000 0.000
Au 4.032 4.032 4.032

(8)
6
Lattice="-2.274 3.228 6.831 2.274 -3.228 6.831 2.274 3.228 -6.831" Properties=species:S:1:pos:R:3 comment="Te2Pb3Se | Alexandria via LeMat-Bulk | PBE | relaxed" e_form_raw_ev_per_atom=-0.4471 magnetic_moment_mub_per_fu=0.0 pbc="T T T"
Te 0.000 0.000 2.329
Te 0.000 0.000 11.332
Pb 2.274 0.000 0.000
Pb 2.274 0.000 4.697
Pb 0.000 3.228 2.133
Se 0.000 0.000 6.831

| no. | calculated volume (A^3/atom) |
| --- | --- |
| 1 | 16.954 |
| 2 | 19.495 |
| 3 | 16.326 |
| 4 | 21.342 |
| 5 | 26.315 |
| 6 | 15.202 |
| 7 | 32.785 |
| 8 | 33.427 |